Material: Ca2Pd3Au3
Method: DFT, PBE
State: optimized geometry

The formation energy comes out at -0.62 eV/atom. For the density of states at the Fermi level, the calculation gives 2.128 states/eV/cell. Its uncorrected energy is -4.293 eV/atom. Its calculated density is 11.12 g/cm³.

Geometry as POSCAR:
```
Ca2Pd3Au3
1.0
4.283 0.000 0.000
0.000 4.207 0.000
0.000 0.000 8.205
Au Pd Ca
3 3 2
Direct
0.500 0.000 0.000
0.500 0.500 0.744
0.500 0.500 0.256
0.000 0.500 0.500
0.000 0.500 0.000
0.500 0.000 0.500
0.000 0.000 0.743
0.000 0.000 0.257
```